[1]
# AlAgPt2

A relaxed AlAgPt2 crystal (PBE-GGA, Alexandria).

Values from the calculation:
The symmetry is No. 216. The calculation puts the calculated formation energy at -0.33 eV per atom.

Structure (POSCAR):
```
AlAgPt2
1.0
0.0000 3.1689 3.1689
3.1689 0.0000 3.1689
3.1689 3.1689 0.0000
Al Ag Pt
1 1 2
direct
0.0000 0.0000 0.0000
0.2500 0.2500 0.2500
0.5000 0.5000 0.5000
0.7500 0.7500 0.7500
```


[2]
# NaSmGe

A relaxed NaSmGe crystal (PBE-GGA, Alexandria).

Values from the calculation:
The symmetry is No. 216. The calculation puts the calculated formation energy at -0.37 eV per atom.

Structure (POSCAR):
```
NaSmGe
1.0
0.0000 3.4923 3.4923
3.4923 0.0000 3.4923
3.4923 3.4923 0.0000
Na Sm Ge
1 1 1
direct
0.0000 0.0000 0.0000
0.5000 0.5000 0.5000
0.7500 0.7500 0.7500
```


[3]
# TlInPb

A relaxed TlInPb crystal (PBE-GGA, Alexandria).

Values from the calculation:
The symmetry is No. 44. The calculation puts the calculated formation energy at 0.02 eV per atom.

Structure (POSCAR):
```
TlInPb
1.0
-1.7280 2.5500 5.1013
1.7280 -2.5500 5.1013
1.7280 2.5500 -5.1013
Tl In Pb
1 1 1
direct
0.0000 0.0000 0.0000
0.6701 0.6701 0.0000
0.3338 0.3338 0.0000
```